DFT (PBE-GGA) results for a geometry-optimized GdGeAu structure.

Lattice parameters (Å, degrees): 3.7733 4.4732 4.4732 120.00 90.00 90.00
Each line ends with the local moment (μB).
Atoms (fractional coordinates):
1 Au 0.1683 0.3333 0.6667  0.00
2 Gd 0.6673 0.6667 0.3333  -6.98
3 Ge 0.1644 0.0000 0.0000  0.03

Computed properties:
**M_tot**: 7.07 Bohr magnetons per cell
**DFT formation energy**: -0.797 eV/atom
**Fermi-level density of states**: 1.43 states/eV per cell

DFT (PBE-GGA) results for a geometry-optimized TePt2Pb structure.

Lattice parameters (Å, degrees): 4.8751 4.5788 4.6535 68.87 90.00 90.00
Atoms (fractional coordinates):
1 Pt 0.5000 0.2193 0.2253
2 Pt 0.0000 0.0466 0.0336
3 Pb 0.5000 0.8387 0.8402
4 Te 0.0000 0.3954 0.4008

Computed properties:
**M_tot**: 0.00 Bohr magnetons per cell
**Raw formation energy**: -3.94 kcal/mol of atoms
**E above lowest polymorph**: 25 meV/atom
**Fermi-level density of states**: 1.69 states/eV per cell

DFT (PBE-GGA) results for a geometry-optimized InNiSe2 structure.

Lattice parameters (Å, degrees): 6.9552 6.9552 6.9552 31.31 31.31 31.31
Atoms (fractional coordinates):
1 In 0.2500 0.2500 0.2500
2 Se 0.4798 0.4798 0.4798
3 Se 0.0202 0.0202 0.0202
4 Ni 0.7500 0.7500 0.7500

Computed properties:
**M_tot**: 0.00 Bohr magnetons per cell
**Raw formation energy**: -6.32 kcal/mol of atoms
**Fermi-level density of states**: 2.26 states/eV per cell

DFT (PBE-GGA) results for a geometry-optimized TaRh2Cl structure.

Lattice parameters (Å, degrees): 2.8851 4.6295 4.6188 90.00 90.00 90.00
Atoms (fractional coordinates):
1 Ta 0.5000 0.0000 0.5000
2 Rh 0.5000 0.5000 0.0000
3 Rh 0.0000 0.0000 0.0000
4 Cl 0.0000 0.5000 0.5000

Computed properties:
**M_tot**: 0.00 Bohr magnetons per cell
**Raw formation energy**: 5.06 kcal/mol of atoms
**E above lowest polymorph**: 564 meV/atom
**Fermi-level density of states**: 2.13 states/eV per cell

DFT (PBE-GGA) results for a geometry-optimized HoCdCuPd structure.

Lattice parameters (Å, degrees): 4.7551 4.7551 4.7551 60.00 60.00 60.00
Atoms (fractional coordinates):
1 Ho 0.2500 0.2500 0.2500
2 Cd 0.7500 0.7500 0.7500
3 Pd 0.5000 0.5000 0.5000
4 Cu 0.0000 0.0000 0.0000

Computed properties:
**M_tot**: 0.00 Bohr magnetons per cell
**DFT formation energy**: -0.456 eV/atom
**Fermi-level density of states**: 2.48 states/eV per cell

DFT (PBE-GGA) results for a geometry-optimized CrFe2As2 structure.

Lattice parameters (Å, degrees): 6.7007 6.7007 3.0216 90.00 90.00 90.00
Each line ends with the local moment (μB).
Atoms (fractional coordinates):
1 Fe 0.8624 0.3624 0.5000  1.76
2 Fe 0.1376 0.6376 0.5000  1.76
3 Fe 0.3624 0.1376 0.5000  1.71
4 Fe 0.6376 0.8624 0.5000  1.71
5 As 0.8426 0.6574 0.0000  -0.07
6 As 0.3426 0.8426 0.0000  -0.07
7 As 0.6574 0.1574 0.0000  -0.07
8 As 0.1574 0.3426 0.0000  -0.07
9 Cr 0.0000 0.0000 0.0000  2.60
10 Cr 0.5000 0.5000 0.0000  2.60

Computed properties:
**M_tot**: 12.05 Bohr magnetons per cell
**DFT formation energy**: 0.113 eV/atom
**Fermi-level density of states**: 8.44 states/eV per cell

DFT (PBE-GGA) results for a geometry-optimized La2TaFe structure.

Lattice parameters (Å, degrees): 5.6449 5.6449 5.6449 133.07 133.07 68.54
Each line ends with the local moment (μB).
Atoms (fractional coordinates):
1 Ta 0.5000 0.5000 0.0000  -0.30
2 La 0.0000 0.0000 0.0000  0.01
3 La 0.2500 0.7500 0.5000  0.03
4 Fe 0.7500 0.2500 0.5000  -2.77

Computed properties:
**M_tot**: 3.16 Bohr magnetons per cell
**DFT formation energy**: 0.660 eV/atom
**E above lowest polymorph**: 480 meV/atom
**Fermi-level density of states**: 6.22 states/eV per cell

DFT (PBE-GGA) results for a geometry-optimized ZnAs2Pb2 structure.

Lattice parameters (Å, degrees): 7.4832 7.4832 4.5551 90.00 90.00 90.00
Atoms (fractional coordinates):
1 Zn 0.0000 0.0000 0.0000
2 Zn 0.5000 0.5000 0.0000
3 As 0.8281 0.6719 0.0000
4 As 0.6719 0.1719 0.0000
5 As 0.3281 0.8281 0.0000
6 As 0.1719 0.3281 0.0000
7 Pb 0.1533 0.6533 0.5000
8 Pb 0.8467 0.3467 0.5000
9 Pb 0.3467 0.1533 0.5000
10 Pb 0.6533 0.8467 0.5000

Computed properties:
**M_tot**: 0.00 Bohr magnetons per cell
**DFT formation energy**: 0.164 eV/atom
**E above lowest polymorph**: 0 meV/atom
**Fermi-level density of states**: 4.59 states/eV per cell

DFT (PBE-GGA) results for a geometry-optimized Na2TbSi2O6 structure.

Lattice parameters (Å, degrees): 5.5950 5.5950 7.2824 90.00 90.00 120.00
Atoms (fractional coordinates):
1 O 0.9295 0.2942 0.1827
2 O 0.7058 0.6354 0.1827
3 O 0.3646 0.0705 0.1827
4 O 0.0705 0.7058 0.8173
5 O 0.2942 0.3646 0.8173
6 O 0.6354 0.9295 0.8173
7 Na 0.6667 0.3333 0.7025
8 Na 0.3333 0.6667 0.2975
9 Si 0.6667 0.3333 0.2078
10 Si 0.3333 0.6667 0.7922
11 Tb 0.0000 0.0000 0.0000

Computed properties:
**M_tot**: 0.78 Bohr magnetons per cell
**Raw formation energy**: -54.55 kcal/mol of atoms
**Fermi-level density of states**: 1.54 states/eV per cell

DFT (PBE-GGA) results for a geometry-optimized RbPbAu2 structure.

Lattice parameters (Å, degrees): 5.6024 5.6024 10.4326 74.42 74.42 90.00
Atoms (fractional coordinates):
1 Au 0.3750 0.1254 0.7500
2 Au 0.8746 0.1250 0.2500
3 Au 0.8754 0.6250 0.2500
4 Au 0.8750 0.1246 0.7500
5 Pb 0.0000 0.0000 0.0000
6 Pb 0.7500 0.2500 0.5000
7 Rb 0.2500 0.7500 0.5000
8 Rb 0.5000 0.5000 0.0000

Computed properties:
**M_tot**: 0.00 Bohr magnetons per cell
**DFT formation energy**: -0.061 eV/atom
**Fermi-level density of states**: 8.00 states/eV per cell

DFT (PBE-GGA) results for a geometry-optimized CaNdMg structure.

Lattice parameters (Å, degrees): 3.8508 3.8508 13.3577 90.00 90.00 90.00
Atoms (fractional coordinates):
1 Nd 0.0000 0.5000 0.5900
2 Nd 0.5000 0.0000 0.4100
3 Mg 0.5000 0.0000 0.7409
4 Mg 0.0000 0.5000 0.2591
5 Ca 0.5000 0.0000 0.1056
6 Ca 0.0000 0.5000 0.8944

Computed properties:
**M_tot**: 0.00 Bohr magnetons per cell
**DFT formation energy**: -0.052 eV/atom
**E above lowest polymorph**: 0 meV/atom
**Fermi-level density of states**: 5.71 states/eV per cell

DFT (PBE-GGA) results for a geometry-optimized Na4Pm3AlO8 structure.

Lattice parameters (Å, degrees): 6.8228 6.8401 6.8231 119.92 120.00 90.00
Atoms (fractional coordinates):
1 O 0.7400 0.7201 0.4800
2 O 0.7831 0.2958 0.5662
3 O 0.2296 0.2958 0.0127
4 O 0.7831 0.2958 0.0127
5 O 0.2169 0.7042 0.4338
6 O 0.2169 0.7042 0.9873
7 O 0.7704 0.7042 0.9873
8 O 0.2600 0.2799 0.5200
9 Pm 0.0000 0.5000 0.5000
10 Pm 0.5000 0.5000 0.0000
11 Pm 0.5000 0.5000 0.5000
12 Na 0.5000 0.0000 0.0000
13 Na 0.0000 0.0000 0.5000
14 Na 0.0000 0.0000 0.0000
15 Na 0.5000 0.0000 0.5000
16 Al 0.0000 0.5000 0.0000

Computed properties:
**M_tot**: 0.00 Bohr magnetons per cell
**Raw formation energy**: -57.25 kcal/mol of atoms
**Fermi-level density of states**: 0.00 states/eV per cell

DFT (PBE-GGA) results for a geometry-optimized Li6HoCd2 structure.

Lattice parameters (Å, degrees): 4.1026 4.1026 11.3220 90.00 90.00 90.00
Atoms (fractional coordinates):
1 Li 0.5000 0.0000 0.2962
2 Li 0.5000 0.5000 0.5000
3 Li 0.5000 0.0000 0.7038
4 Li 0.0000 0.5000 0.7038
5 Li 0.0000 0.5000 0.2962
6 Li 0.0000 0.0000 0.5000
7 Cd 0.5000 0.5000 0.8697
8 Cd 0.5000 0.5000 0.1303
9 Ho 0.0000 0.0000 0.0000

Computed properties:
**M_tot**: 0.00 Bohr magnetons per cell
**DFT formation energy**: -0.086 eV/atom
**Fermi-level density of states**: 4.46 states/eV per cell

DFT (PBE-GGA) results for a geometry-optimized LiTcPt2 structure.

Lattice parameters (Å, degrees): 3.8525 3.8525 8.9577 77.58 77.58 90.00
Atoms (fractional coordinates):
1 Tc 0.7500 0.2500 0.5000
2 Tc 0.0000 0.0000 0.0000
3 Pt 0.1305 0.6250 0.2500
4 Pt 0.8750 0.8695 0.7500
5 Pt 0.6195 0.1250 0.2500
6 Pt 0.3750 0.3805 0.7500
7 Li 0.5000 0.5000 0.0000
8 Li 0.2500 0.7500 0.5000

Computed properties:
**M_tot**: 0.00 Bohr magnetons per cell
**DFT formation energy**: 0.268 eV/atom
**E above lowest polymorph**: 608 meV/atom
**Fermi-level density of states**: 10.99 states/eV per cell

DFT (PBE-GGA) results for a geometry-optimized LiRh4Se2 structure.

Lattice parameters (Å, degrees): 4.2126 4.2126 7.0148 72.53 72.53 90.00
Atoms (fractional coordinates):
1 Rh 0.0000 0.5000 0.0000
2 Rh 0.7991 0.7991 0.4018
3 Rh 0.2009 0.2009 0.5982
4 Rh 0.5000 0.0000 0.0000
5 Se 0.6201 0.6201 0.7598
6 Se 0.3799 0.3799 0.2402
7 Li 0.0000 0.0000 0.0000

Computed properties:
**M_tot**: 0.00 Bohr magnetons per cell
**Raw formation energy**: 8.77 kcal/mol of atoms
**Fermi-level density of states**: 6.41 states/eV per cell

DFT (PBE-GGA) results for a geometry-optimized LiAl structure.

Lattice parameters (Å, degrees): 5.2422 5.2422 5.4559 90.00 90.00 90.00
Atoms (fractional coordinates):
1 Li 0.6779 0.6779 0.5000
2 Li 0.8221 0.1779 0.0000
3 Li 0.3221 0.3221 0.5000
4 Li 0.1779 0.8221 0.0000
5 Al 0.8208 0.1792 0.5000
6 Al 0.3208 0.3208 0.0000
7 Al 0.1792 0.8208 0.5000
8 Al 0.6792 0.6792 0.0000

Computed properties:
**M_tot**: 0.00 Bohr magnetons per cell
**DFT formation energy**: 0.221 eV/atom
**Fermi-level density of states**: 0.67 states/eV per cell

DFT (PBE-GGA) results for a geometry-optimized Pm6Co2RhCl3 structure.

Lattice parameters (Å, degrees): 3.9658 8.8130 9.6636 110.71 101.84 90.00
Atoms (fractional coordinates):
1 Pm 0.6598 0.1193 0.3195
2 Pm 0.9857 0.7679 0.9713
3 Pm 0.0143 0.2321 0.0287
4 Pm 0.6777 0.5569 0.3554
5 Pm 0.3223 0.4431 0.6446
6 Pm 0.3402 0.8807 0.6805
7 Rh 0.5000 0.0000 0.0000
8 Cl 0.1674 0.8337 0.3349
9 Cl 0.5000 0.5000 0.0000
10 Cl 0.8326 0.1663 0.6651
11 Co 0.1681 0.3379 0.3363
12 Co 0.8319 0.6621 0.6637

Computed properties:
**M_tot**: 0.00 Bohr magnetons per cell
**Raw formation energy**: -21.97 kcal/mol of atoms
**Fermi-level density of states**: 2.71 states/eV per cell

DFT (PBE-GGA) results for a geometry-optimized LiZrHg2 structure.

Lattice parameters (Å, degrees): 6.3951 6.3951 6.3951 57.95 152.77 129.91
Atoms (fractional coordinates):
1 Li 0.0000 0.0000 0.0000
2 Hg 0.0000 0.2291 0.2291
3 Hg 0.0000 0.7709 0.7709
4 Zr 0.0000 0.5000 0.5000

Computed properties:
**M_tot**: 0.00 Bohr magnetons per cell
**DFT formation energy**: 0.357 eV/atom
**Fermi-level density of states**: 3.61 states/eV per cell

DFT (PBE-GGA) results for a geometry-optimized HoTm6Sc structure.

Lattice parameters (Å, degrees): 6.6549 6.3977 6.8229 104.12 59.55 92.13
Atoms (fractional coordinates):
1 Tm 0.0905 0.7388 0.4894
2 Tm 0.4369 0.2270 0.4690
3 Tm 0.5580 0.7518 0.0030
4 Tm 0.5631 0.7730 0.5310
5 Tm 0.4420 0.2482 0.9970
6 Tm 0.9095 0.2612 0.5106
7 Ho 0.0000 0.5000 0.0000
8 Sc 0.0000 0.0000 0.0000

Computed properties:
**M_tot**: 0.00 Bohr magnetons per cell
**DFT formation energy**: 0.213 eV/atom
**Fermi-level density of states**: 13.88 states/eV per cell

DFT (PBE-GGA) results for a geometry-optimized CsCu2PdAu structure.

Lattice parameters (Å, degrees): 4.9621 5.3216 4.9621 90.00 90.00 90.00
Atoms (fractional coordinates):
1 Cu 0.5000 0.0000 0.0000
2 Cu 0.0000 0.0000 0.5000
3 Au 0.0000 0.0000 0.0000
4 Pd 0.0000 0.5000 0.0000
5 Cs 0.5000 0.5000 0.5000

Computed properties:
**M_tot**: 0.00 Bohr magnetons per cell
**DFT formation energy**: 0.469 eV/atom
**Fermi-level density of states**: 1.89 states/eV per cell

DFT (PBE-GGA) results for a geometry-optimized KCuSbBr6 structure.

Lattice parameters (Å, degrees): 7.6518 7.0521 7.2306 85.87 82.34 57.23
Each line ends with the local moment (μB).
Atoms (fractional coordinates):
1 Br 0.5875 0.0473 0.2702  0.11
2 Br 0.3716 0.6256 0.3244  0.10
3 Br 0.0042 0.6239 0.6762  0.10
4 Br 0.6447 0.3606 0.7513  0.01
5 Br 0.9912 0.3647 0.2446  0.01
6 Br 0.3652 0.0461 0.7312  0.11
7 K 0.0201 0.9576 0.0001  0.00
8 Cu 0.3358 0.3325 0.5022  0.44
9 Sb 0.6794 0.6419 0.4995  0.00

Computed properties:
**M_tot**: 1.03 Bohr magnetons per cell
**Raw formation energy**: -16.84 kcal/mol of atoms
**Fermi-level density of states**: 2.10 states/eV per cell

DFT (PBE-GGA) results for a geometry-optimized TiTe2F structure.

Lattice parameters (Å, degrees): 10.0016 10.0016 10.0016 18.23 18.23 18.23
Atoms (fractional coordinates):
1 Ti 0.0000 0.0000 0.0000
2 Te 0.9055 0.9055 0.9055
3 Te 0.0945 0.0945 0.0945
4 F 0.5000 0.5000 0.5000

Computed properties:
**M_tot**: 0.00 Bohr magnetons per cell
**Raw formation energy**: -3.03 kcal/mol of atoms
**E above lowest polymorph**: 769 meV/atom
**Fermi-level density of states**: 3.68 states/eV per cell

DFT (PBE-GGA) results for a geometry-optimized NbV4Pb structure.

Lattice parameters (Å, degrees): 5.1267 5.1267 5.1267 60.00 60.00 60.00
Atoms (fractional coordinates):
1 V 0.6279 0.1164 0.6279
2 V 0.1164 0.6279 0.6279
3 V 0.6279 0.6279 0.1164
4 V 0.6279 0.6279 0.6279
5 Nb 0.0000 0.0000 0.0000
6 Pb 0.2500 0.2500 0.2500

Computed properties:
**M_tot**: 0.00 Bohr magnetons per cell
**DFT formation energy**: 0.174 eV/atom
**Fermi-level density of states**: 9.82 states/eV per cell

DFT (PBE-GGA) results for a geometry-optimized TbZn2GaNi2 structure.

Lattice parameters (Å, degrees): 4.3849 4.3849 5.5432 90.00 90.00 90.00
Atoms (fractional coordinates):
1 Ga 0.0000 0.0000 0.0000
2 Zn 0.5000 0.5000 0.7432
3 Zn 0.5000 0.5000 0.2568
4 Ni 0.5000 0.0000 0.0000
5 Ni 0.0000 0.5000 0.0000
6 Tb 0.0000 0.0000 0.5000

Computed properties:
**M_tot**: 0.00 Bohr magnetons per cell
**DFT formation energy**: -0.126 eV/atom
**Fermi-level density of states**: 3.46 states/eV per cell

DFT (PBE-GGA) results for a geometry-optimized LiCoGe2 structure.

Lattice parameters (Å, degrees): 2.8440 2.8440 7.3199 90.00 90.00 90.00
Each line ends with the local moment (μB).
Atoms (fractional coordinates):
1 Co 0.5000 0.5000 0.0000  0.82
2 Li 0.5000 0.5000 0.5000  0.00
3 Ge 0.0000 0.0000 0.2097  0.00
4 Ge 0.0000 0.0000 0.7903  0.00

Computed properties:
**M_tot**: 0.83 Bohr magnetons per cell
**DFT formation energy**: -0.193 eV/atom
**E above lowest polymorph**: 0 meV/atom
**Fermi-level density of states**: 1.48 states/eV per cell

DFT (PBE-GGA) results for a geometry-optimized HfTcH4 structure.

Lattice parameters (Å, degrees): 4.0113 4.5550 6.1967 104.29 90.01 116.13
Atoms (fractional coordinates):
1 Hf 0.7502 0.0000 0.2500
2 Hf 0.2498 0.0000 0.7500
3 H 0.2485 0.4992 0.7493
4 H 0.7208 0.9426 0.5788
5 H 0.7784 0.0574 0.9212
6 H 0.2507 0.4992 0.2493
7 H 0.2216 0.9426 0.0788
8 H 0.7493 0.5008 0.7507
9 H 0.2792 0.0574 0.4212
10 H 0.7515 0.5008 0.2507
11 Tc 0.0000 0.5000 0.0000
12 Tc 0.5000 0.5000 0.5000

Computed properties:
**M_tot**: 0.00 Bohr magnetons per cell
**E above lowest polymorph**: 132 meV/atom
**Fermi-level density of states**: 2.95 states/eV per cell